# RePdPt PBE-GGA relaxed
# Total energy (eV per atom): -7.926
# Formation energy (eV/atom): -0.03
# Density of states at the Fermi level (states/eV per cell): 7.508
# Energy above the most stable polymorph in this dataset (eV/atom): 0.0772
data_RePdPt
_chemical_formula_sum 'Re3 Pd3 Pt3'
_cell_length_a 2.8011
_cell_length_b 2.8011
_cell_length_c 20.1918
_cell_angle_alpha 90.00
_cell_angle_beta 90.00
_cell_angle_gamma 120.00
_space_group_name_H-M_alt 'R 3 m'
_space_group_IT_number 160
_space_group_name_Hall 'R 3 -2"'
loop_
_atom_site_label
_atom_site_type_symbol
_atom_site_fract_x
_atom_site_fract_y
_atom_site_fract_z
_atom_site_occupancy
Re1 Re 0.0000 0.0000 0.0000 1
Pd1 Pd 0.0000 0.0000 0.5586 1
Pt1 Pt 0.0000 0.0000 0.7734 1